Rb4AgAu2 | PBE | optimized geometry

```
Rb4AgAu2
1.0
3.014 -5.222 0.000
3.014 5.222 0.000
0.000 0.000 18.908
Rb Ag Au
8 2 4
Cartesian
0.000 0.000 0.000
0.000 0.000 9.454
3.014 1.744 11.730
3.014 1.744 16.632
3.014 1.735 4.727
3.014 -1.735 14.181
3.014 -1.744 2.276
3.014 -1.744 7.178
3.014 5.216 4.727
3.014 -5.216 14.181
3.014 1.738 1.222
3.014 1.738 8.232
3.014 -1.738 10.677
3.014 -1.738 17.686
```

Formation energy from the elements: -0.9 eV/f.u.
Energy above the lowest structure with this stoichiometry: 0.0 meV/atom
Calculated total energy: -2.028 eV per atom

***

BaAcHgTe3 | PBE | optimized geometry

```
BaAcHgTe3
1.0
9.552 0.000 0.000
0.000 4.763 0.000
-3.339 0.000 10.361
Ba Ac Hg Te
2 2 2 6
Cartesian
1.220 1.191 2.464
4.993 3.572 7.897
0.148 3.572 8.604
6.064 1.191 1.756
-1.059 1.191 6.241
7.272 3.572 4.120
-2.195 1.191 9.206
0.650 3.572 5.201
3.731 3.572 1.621
2.481 1.191 8.739
5.562 1.191 5.160
8.407 3.572 1.154
```

Formation energy (no corrections): -1.1790 eV per atom
Calculated total energy: -3.805 eV per atom

***

Er2MgPa | PBE | optimized geometry

```
Er2MgPa
1.0
0.000 3.808 3.808
3.808 0.000 3.808
3.808 3.808 0.000
Er Mg Pa
2 1 1
Cartesian
1.904 1.904 1.904
5.712 5.712 5.712
0.000 0.000 0.000
3.808 3.808 3.808
```

Formation energy from the elements: 1.4 eV/f.u.
Energy above the lowest structure with this stoichiometry: 298.5 meV/atom
Calculated total energy: -4.710 eV per atom